The following is a DFT calculation (SCAN) of a crystal of HgIr relaxed with PBEsol.

## Properties
Spin magnetization (μB/atom): 0.000
Calculated total energy (eV/f.u.): -138.40
DOS at the Fermi energy (states/eV/atom): 0.6974

```
data_HgIr
_cell_length_a 11.4640
_cell_length_b 2.7760
_cell_length_c 7.2908
_cell_angle_alpha 90.00
_cell_angle_beta 114.77
_cell_angle_gamma 90.00
_space_group_name_H-M_alt 'C 1 2/m 1'
_space_group_IT_number 12
loop_
_space_group_symop_operation_xyz
'x,y,z'
'-x,-y,-z'
'-x,y,-z'
'x,-y,z'
'x+1/2,y+1/2,z'
'-x+1/2,-y+1/2,-z'
'-x+1/2,y+1/2,-z'
'x+1/2,-y+1/2,z'
loop_
_atom_site_label
_atom_site_fract_x
_atom_site_fract_y
_atom_site_fract_z
_atom_site_occupancy
Hg1 0.0000 0.0000 0.0000 1
Hg2 0.1996 0.5000 0.8078 1
Ir1 0.0000 0.0000 0.5000 1
Ir2 0.1506 0.5000 0.3744 1
```